No. 1
First-principles (PBE) data for crystalline Ba3Cd2Ag2 at its relaxed geometry, as listed in the Alexandria database.

```
data_Ba3Cd2Ag2
_cell_length_a 6.6080
_cell_length_b 9.0486
_cell_length_c 16.2995
_cell_angle_alpha 90.00
_cell_angle_beta 90.00
_cell_angle_gamma 90.00
_space_group_name_H-M_alt 'P b c m'
_space_group_IT_number 57
loop_
_space_group_symop_operation_xyz
'x,y,z'
'-x,-y,-z'
'-x,-y,z+1/2'
'x,y,-z+1/2'
'x,-y+1/2,-z'
'-x,y+1/2,z'
'-x,y+1/2,-z+1/2'
'x,-y+1/2,z+1/2'
loop_
_atom_site_label
_atom_site_type_symbol
_atom_site_fract_x
_atom_site_fract_y
_atom_site_fract_z
Ba1 Ba 0.1348 0.2474 0.2500
Ba2 Ba 0.3558 0.6011 0.0969
Cd1 Cd 0.1412 0.2500 0.0000
Cd2 Cd 0.3590 0.6055 0.7500
Ag1 Ag 0.1326 0.5388 0.5944
```

Values from the calculation:
**Calculated density**: 5.81 g/cm³
**Crystal system**: orthorhombic
**Energy relative to the elements**: -0.278 eV per atom
**Size of the total moment**: 0.0000 μB/atom


No. 2
First-principles (PBE) data for crystalline CdCu3 at its relaxed geometry, as listed in the Alexandria database.

```
data_CdCu3
_cell_length_a 8.7664
_cell_length_b 4.9255
_cell_length_c 8.6250
_cell_angle_alpha 90.00
_cell_angle_beta 109.36
_cell_angle_gamma 90.00
_space_group_name_H-M_alt 'C 1 2/m 1'
_space_group_IT_number 12
loop_
_space_group_symop_operation_xyz
'x,y,z'
'-x,-y,-z'
'-x,y,-z'
'x,-y,z'
'x+1/2,y+1/2,z'
'-x+1/2,-y+1/2,-z'
'-x+1/2,y+1/2,-z'
'x+1/2,-y+1/2,z'
loop_
_atom_site_label
_atom_site_type_symbol
_atom_site_fract_x
_atom_site_fract_y
_atom_site_fract_z
Cd1 Cd 0.0000 0.0000 0.0000
Cd2 Cd 0.1426 0.0000 0.4306
Cu1 Cu 0.0000 0.5000 0.5000
Cu2 Cu 0.0815 0.5000 0.2472
Cu3 Cu 0.1681 0.2484 0.7471
Cu4 Cu 0.1715 0.5000 0.0002
```

Values from the calculation:
**Calculated density**: 8.59 g/cm³
**Crystal system**: monoclinic
**Energy relative to the elements**: 0.052 eV per atom
**Size of the total moment**: 0.0000 μB/atom


No. 3
First-principles (PBE) data for crystalline Ce2NpAg at its relaxed geometry, as listed in the Alexandria database.

```
data_Ce2NpAg
_cell_length_a 3.0254
_cell_length_b 3.0254
_cell_length_c 9.9395
_cell_angle_alpha 90.00
_cell_angle_beta 90.00
_cell_angle_gamma 90.00
_space_group_name_H-M_alt 'P 4/m m m'
_space_group_IT_number 123
_space_group_name_Hall '-P 4 2'
loop_
_atom_site_label
_atom_site_type_symbol
_atom_site_fract_x
_atom_site_fract_y
_atom_site_fract_z
Ce1 Ce 0.0000 0.0000 0.2472
Np1 Np 0.5000 0.5000 0.0000
Ag1 Ag 0.5000 0.5000 0.5000
```

Values from the calculation:
**Calculated density**: 11.41 g/cm³
**Crystal system**: tetragonal
**Energy relative to the elements**: 0.148 eV per atom
**Size of the total moment**: 0.7755 μB/atom
**Relative energy among the computed polymorphs**: 4.6 kJ per mole of atoms


No. 4
First-principles (PBE) data for crystalline SmDyZr2As4 at its relaxed geometry, as listed in the Alexandria database.

```
data_SmDyZr2As4
_cell_length_a 6.9176
_cell_length_b 3.9886
_cell_length_c 6.9957
_cell_angle_alpha 90.00
_cell_angle_beta 109.30
_cell_angle_gamma 90.00
_space_group_name_H-M_alt 'P 1 2/m 1'
_space_group_IT_number 10
loop_
_space_group_symop_operation_xyz
'x,y,z'
'-x,-y,-z'
'-x,y,-z'
'x,-y,z'
loop_
_atom_site_label
_atom_site_type_symbol
_atom_site_fract_x
_atom_site_fract_y
_atom_site_fract_z
Sm1 Sm 0.0000 0.0000 0.0000
Dy1 Dy 0.5000 0.5000 0.0000
Zr1 Zr 0.0000 0.5000 0.5000
Zr2 Zr 0.5000 0.0000 0.5000
As1 As 0.2476 0.0000 0.7348
As2 As 0.2586 0.5000 0.2673
```

Values from the calculation:
**Calculated density**: 7.25 g/cm³
**Crystal system**: monoclinic
**Energy relative to the elements**: -1.314 eV per atom
**Size of the total moment**: 0.0000 μB/atom


No. 5
First-principles (PBE) data for crystalline Ho2MnZn3Ni12 at its relaxed geometry, as listed in the Alexandria database.

```
data_Ho2MnZn3Ni12
_cell_length_a 5.9316
_cell_length_b 5.9316
_cell_length_c 25.9610
_cell_angle_alpha 90.00
_cell_angle_beta 90.00
_cell_angle_gamma 120.00
_space_group_name_H-M_alt 'R -3 m'
_space_group_IT_number 166
_space_group_name_Hall '-R 3 2"'
loop_
_atom_site_label
_atom_site_type_symbol
_atom_site_fract_x
_atom_site_fract_y
_atom_site_fract_z
Ho1 Ho 0.0000 0.0000 0.1497
Mn1 Mn 0.0000 0.0000 0.5000
Zn1 Zn 0.0000 0.5000 0.0000
Ni1 Ni 0.0414 0.5207 0.0993
Ni2 Ni 0.0717 0.5359 0.6148
```

Values from the calculation:
**Calculated density**: 8.09 g/cm³
**Crystal system**: trigonal
**Energy relative to the elements**: 0.106 eV per atom
**Size of the total moment**: 0.2537 μB/atom


No. 6
First-principles (PBE) data for crystalline Nd3SmY6Ho2 at its relaxed geometry, as listed in the Alexandria database.

```
data_Nd3SmY6Ho2
_cell_length_a 6.2366
_cell_length_b 10.7959
_cell_length_c 11.8734
_cell_angle_alpha 90.00
_cell_angle_beta 100.04
_cell_angle_gamma 90.00
_space_group_name_H-M_alt 'C 1 2/m 1'
_space_group_IT_number 12
loop_
_space_group_symop_operation_xyz
'x,y,z'
'-x,-y,-z'
'-x,y,-z'
'x,-y,z'
'x+1/2,y+1/2,z'
'-x+1/2,-y+1/2,-z'
'-x+1/2,y+1/2,-z'
'x+1/2,-y+1/2,z'
loop_
_atom_site_label
_atom_site_type_symbol
_atom_site_fract_x
_atom_site_fract_y
_atom_site_fract_z
Nd1 Nd 0.0000 0.0000 0.0000
Nd2 Nd 0.0000 0.3331 0.0000
Sm1 Sm 0.0000 0.5000 0.5000
Y1 Y 0.2487 0.0000 0.7472
Y2 Y 0.2494 0.3332 0.7471
Ho1 Ho 0.0000 0.1667 0.5000
```

Values from the calculation:
**Calculated density**: 6.10 g/cm³
**Crystal system**: monoclinic
**Energy relative to the elements**: 0.016 eV per atom
**Size of the total moment**: 0.0000 μB/atom


No. 7
First-principles (PBE) data for crystalline LaSm5DyEr2 at its relaxed geometry, as listed in the Alexandria database.

```
data_LaSm5DyEr2
_cell_length_a 5.6843
_cell_length_b 20.1507
_cell_length_c 10.6132
_cell_angle_alpha 90.00
_cell_angle_beta 90.00
_cell_angle_gamma 90.00
_space_group_name_H-M_alt 'C m c 21'
_space_group_IT_number 36
loop_
_space_group_symop_operation_xyz
'x,y,z'
'-x,-y,z+1/2'
'-x,y,z'
'x,-y,z+1/2'
'x+1/2,y+1/2,z'
'-x+1/2,-y+1/2,z+1/2'
'-x+1/2,y+1/2,z'
'x+1/2,-y+1/2,z+1/2'
loop_
_atom_site_label
_atom_site_type_symbol
_atom_site_fract_x
_atom_site_fract_y
_atom_site_fract_z
La1 La 0.0000 0.0835 0.0000
Sm1 Sm 0.0000 0.0209 0.2893
Sm2 Sm 0.0000 0.1138 0.5740
Sm3 Sm 0.0000 0.2034 0.2570
Sm4 Sm 0.0000 0.2192 0.8635
Sm5 Sm 0.0000 0.4830 0.5737
Dy1 Dy 0.0000 0.3006 0.5614
Er1 Er 0.0000 0.3846 0.8697
Er2 Er 0.0000 0.3873 0.2833
```

Values from the calculation:
**Calculated density**: 7.58 g/cm³
**Crystal system**: orthorhombic
**Energy relative to the elements**: 0.156 eV per atom
**Size of the total moment**: 0.0000 μB/atom


No. 8
First-principles (PBE) data for crystalline TmCd3Hg6 at its relaxed geometry, as listed in the Alexandria database.

```
data_TmCd3Hg6
_cell_length_a 13.2224
_cell_length_b 13.2224
_cell_length_c 10.1670
_cell_angle_alpha 90.00
_cell_angle_beta 90.00
_cell_angle_gamma 120.00
_space_group_name_H-M_alt 'R -3 c'
_space_group_IT_number 167
_space_group_name_Hall '-R 3 2"c'
loop_
_atom_site_label
_atom_site_type_symbol
_atom_site_fract_x
_atom_site_fract_y
_atom_site_fract_z
Tm1 Tm 0.0000 0.0000 0.0000
Cd1 Cd 0.0000 0.1532 0.2500
Hg1 Hg 0.0393 0.2465 0.9390
```

Values from the calculation:
**Calculated density**: 11.07 g/cm³
**Crystal system**: trigonal
**Energy relative to the elements**: -0.099 eV per atom
**Size of the total moment**: 0.0000 μB/atom
**Relative energy among the computed polymorphs**: 0.0 kJ per mole of atoms